# TcWN2O (PBE+U, optimized geometry)
# DFT total energy	-37.22	eV/cell
# DOS(E_F)	1.5	states/eV/f.u.
# magnetization	4.567	μB/cell
data_TcWN2O
_space_group_name_H-M_alt 'P 4/m m m'
_space_group_IT_number 123
_space_group_name_Hall '-P 4 2'
_cell_length_a 4.0222
_cell_length_b 4.0222
_cell_length_c 3.8995
_cell_angle_alpha 90.00
_cell_angle_beta 90.00
_cell_angle_gamma 90.00
loop_
_atom_site_label
_atom_site_fract_x
_atom_site_fract_y
_atom_site_fract_z
Tc1 0.0000 0.0000 0.0000
W1 0.5000 0.5000 0.5000
N1 0.0000 0.5000 0.5000
O1 0.5000 0.5000 0.0000